Record 1
Entry from Alexandria: Nd2RuSe after structural relaxation (PBE-GGA).

ΔE_f (raw) = -0.851 eV per atom
M_tot = 0.00 μB per atom
Polymorph energy (0 for the lowest one) = 0 meV per atom
Space-group type = P4/mmm, No. 123

Lattice parameters (Å, degrees): 3.562 3.562 7.460 90.00 90.00 90.00
Positions (direct):
Nd  0.000  0.000  0.235
Nd  0.000  0.000  0.765
Ru  0.500  0.500  0.000
Se  0.500  0.500  0.500

=====

Record 2
Entry from Alexandria: Nd2RuSe after structural relaxation (PBE-GGA).

ΔE_f (raw) = -0.807 eV per atom
M_tot = 0.00 μB per atom
Polymorph energy (0 for the lowest one) = 44 meV per atom
Space-group type = R-3m, No. 166

Lattice parameters (Å, degrees): 7.616 7.616 7.616 31.38 31.38 31.38
Positions (direct):
Nd  0.243  0.243  0.243
Nd  0.757  0.757  0.757
Ru  0.500  0.500  0.500
Se  0.000  0.000  0.000

=====

Record 3
Entry from Alexandria: Nd3Si3Ru after structural relaxation (PBE-GGA).

ΔE_f (raw) = -0.758 eV per atom
M_tot = 0.03 μB per atom
Space-group type = C2/m, No. 12

Lattice parameters (Å, degrees): 5.957 5.957 14.007 110.26 110.26 42.55
Positions (direct):
Nd  0.020  0.020  0.375
Nd  0.102  0.102  0.920
Nd  0.248  0.248  0.228
Nd  0.752  0.752  0.772
Nd  0.898  0.898  0.080
Nd  0.980  0.980  0.625
Si  0.352  0.352  0.456
Si  0.394  0.394  0.925
Si  0.439  0.439  0.760
Si  0.561  0.561  0.240
Si  0.606  0.606  0.075
Si  0.648  0.648  0.544
Ru  0.256  0.256  0.584
Ru  0.744  0.744  0.416

=====

Record 4
Entry from Alexandria: NdSi3Ru5 after structural relaxation (PBE-GGA).

ΔE_f (raw) = -0.464 eV per atom
M_tot = 0.00 μB per atom
Space-group type = Cmcm, No. 63

Lattice parameters (Å, degrees): 6.703 6.703 11.480 90.00 90.00 144.87
Positions (direct):
Nd  0.181  0.819  0.750
Nd  0.819  0.181  0.250
Si  0.115  0.885  0.250
Si  0.375  0.625  0.045
Si  0.375  0.625  0.455
Si  0.625  0.375  0.545
Si  0.625  0.375  0.955
Si  0.885  0.115  0.750
Ru  0.000  0.000  0.000
Ru  0.000  0.000  0.500
Ru  0.194  0.806  0.063
Ru  0.194  0.806  0.437
Ru  0.457  0.543  0.644
Ru  0.457  0.543  0.856
Ru  0.543  0.457  0.144
Ru  0.543  0.457  0.356
Ru  0.806  0.194  0.563
Ru  0.806  0.194  0.937

=====

Record 5
Entry from Alexandria: Nd2Si4Ru5 after structural relaxation (PBE-GGA).

ΔE_f (raw) = -0.743 eV per atom
M_tot = 0.00 μB per atom
Space-group type = Fmmm, No. 69

Lattice parameters (Å, degrees): 8.190 7.064 5.871 77.97 57.51 44.52
Positions (direct):
Nd  0.131  0.131  0.869
Nd  0.869  0.869  0.131
Si  0.215  0.519  0.481
Si  0.481  0.785  0.215
Si  0.519  0.215  0.785
Si  0.785  0.481  0.519
Ru  0.000  0.000  0.500
Ru  0.250  0.250  0.250
Ru  0.500  0.500  0.000
Ru  0.500  0.500  0.500
Ru  0.750  0.750  0.750

=====

Record 6
Entry from Alexandria: Nd20Si9Ru3 after structural relaxation (PBE-GGA).

ΔE_f (raw) = -0.479 eV per atom
M_tot = 0.00 μB per atom
Space-group type = Amm2, No. 38

Lattice parameters (Å, degrees): 13.758 7.851 7.851 88.99 90.00 90.00
Positions (direct):
Nd  0.000  0.242  0.758
Nd  0.000  0.758  0.242
Nd  0.145  0.075  0.075
Nd  0.146  0.582  0.920
Nd  0.146  0.920  0.582
Nd  0.149  0.425  0.425
Nd  0.354  0.575  0.575
Nd  0.358  0.931  0.931
Nd  0.361  0.085  0.416
Nd  0.361  0.416  0.085
Nd  0.500  0.254  0.747
Nd  0.500  0.747  0.254
Nd  0.639  0.085  0.416
Nd  0.639  0.416  0.085
Nd  0.642  0.931  0.931
Nd  0.646  0.575  0.575
Nd  0.851  0.425  0.425
Nd  0.854  0.582  0.920
Nd  0.854  0.920  0.582
Nd  0.855  0.075  0.075
Si  0.000  0.139  0.369
Si  0.000  0.369  0.139
Si  0.000  0.630  0.630
Si  0.249  0.252  0.751
Si  0.249  0.751  0.252
Si  0.500  0.637  0.866
Si  0.500  0.866  0.637
Si  0.751  0.252  0.751
Si  0.751  0.751  0.252
Ru  0.000  0.868  0.868
Ru  0.500  0.123  0.123
Ru  0.500  0.384  0.384

=====

Record 7
Entry from Alexandria: NdSi2Ru4 after structural relaxation (PBE-GGA).

ΔE_f (raw) = -0.576 eV per atom
M_tot = 0.00 μB per atom
Space-group type = P4_2/mnm, No. 136

Lattice parameters (Å, degrees): 7.587 7.587 3.890 90.00 90.00 90.00
Positions (direct):
Nd  0.000  0.000  0.000
Nd  0.500  0.500  0.500
Si  0.219  0.219  0.500
Si  0.281  0.719  0.000
Si  0.719  0.281  0.000
Si  0.781  0.781  0.500
Ru  0.078  0.658  0.500
Ru  0.158  0.422  0.000
Ru  0.342  0.922  0.500
Ru  0.422  0.158  0.000
Ru  0.578  0.842  0.000
Ru  0.658  0.078  0.500
Ru  0.842  0.578  0.000
Ru  0.922  0.342  0.500

=====

Record 8
Entry from Alexandria: Nd3Si2Ru after structural relaxation (PBE-GGA).

ΔE_f (raw) = -0.615 eV per atom
M_tot = 0.00 μB per atom
Space-group type = Pnma, No. 62

Lattice parameters (Å, degrees): 11.928 4.252 11.676 90.00 90.00 90.00
Positions (direct):
Nd  0.061  0.250  0.121
Nd  0.120  0.750  0.555
Nd  0.210  0.250  0.798
Nd  0.290  0.750  0.298
Nd  0.380  0.250  0.055
Nd  0.439  0.750  0.621
Nd  0.561  0.250  0.379
Nd  0.620  0.750  0.945
Nd  0.710  0.250  0.702
Nd  0.790  0.750  0.202
Nd  0.880  0.250  0.445
Nd  0.939  0.750  0.879
Si  0.028  0.750  0.314
Si  0.199  0.750  0.988
Si  0.301  0.250  0.488
Si  0.472  0.250  0.814
Si  0.528  0.750  0.186
Si  0.699  0.750  0.512
Si  0.801  0.250  0.012
Si  0.972  0.250  0.686
Ru  0.129  0.250  0.358
Ru  0.371  0.750  0.858
Ru  0.629  0.250  0.142
Ru  0.871  0.750  0.642